[1]
## Nb3TcNi (PBE)

Data for a relaxed structure of Nb3TcNi.

Geometry as POSCAR:
```
Nb3TcNi
1.0
4.559 0.000 0.000
0.000 4.559 0.000
0.000 0.000 4.559
Nb Ni Tc
3 1 1
Direct
0.000 0.500 0.000
0.500 0.000 0.000
0.000 0.000 0.500
0.000 0.000 0.000
0.500 0.500 0.500
```

Summary:
**Formation enthalpy at 0 K**: 1021 meV per atom
**D(E_F)**: 1.3464 states/eV/atom
**Relative energy among the computed polymorphs**: 0.0 meV/atom
**Space group**: Pm-3m (221)

[2]
## TiNbTcNi (PBE)

Data for a relaxed structure of TiNbTcNi.

Geometry as POSCAR:
```
TiNbTcNi
1.0
4.398 0.000 0.000
2.199 3.809 0.000
2.199 1.270 3.591
Ni Ti Tc Nb
1 1 1 1
Direct
0.500 0.500 0.500
0.250 0.250 0.250
0.000 0.000 0.000
0.750 0.750 0.750
```

Summary:
**Formation enthalpy at 0 K**: -303 meV per atom
**D(E_F)**: 1.0667 states/eV/atom
**Space group**: F-43m (216)

[3]
## TmNbTcNi (PBE)

Data for a relaxed structure of TmNbTcNi.

Geometry as POSCAR:
```
TmNbTcNi
1.0
-0.952 0.290 -4.472
-4.312 -0.503 -1.461
-2.305 3.611 -1.622
Tm Ni Tc Nb
1 1 1 1
Direct
0.000 0.000 0.000
0.750 0.750 0.750
0.250 0.250 0.250
0.500 0.500 0.500
```

Summary:
**Formation enthalpy at 0 K**: -161 meV per atom
**D(E_F)**: 0.9639 states/eV/atom
**Space group**: F-43m (216)

[4]
## NbVTcNi (PBE)

Data for a relaxed structure of NbVTcNi.

Geometry as POSCAR:
```
NbVTcNi
1.0
4.343 0.000 0.000
2.172 3.761 0.000
2.172 1.254 3.546
Nb V Ni Tc
1 1 1 1
Direct
0.000 0.000 0.000
0.500 0.500 0.500
0.250 0.250 0.250
0.750 0.750 0.750
```

Summary:
**Formation enthalpy at 0 K**: -103 meV per atom
**D(E_F)**: 1.3441 states/eV/atom
**Space group**: F-43m (216)

[5]
## NbTcNiW2 (PBE)

Data for a relaxed structure of NbTcNiW2.

Geometry as POSCAR:
```
NbTcNiW2
1.0
-2.498 -2.037 -3.056
3.744 -1.312 -2.186
0.098 -3.731 2.407
W Ni Tc Nb
2 1 1 1
Direct
0.500 0.000 0.000
0.000 0.000 0.500
0.000 0.000 0.000
0.500 0.500 0.500
0.000 0.500 0.000
```

Summary:
**Formation enthalpy at 0 K**: 1422 meV per atom
**D(E_F)**: 1.6651 states/eV/atom
**Space group**: P4/mmm (123)

[6]
## Nb2NiTe (PBE)

Data for a relaxed structure of Nb2NiTe.

Geometry as POSCAR:
```
Nb2NiTe
1.0
-5.416 2.015 0.722
-2.138 -5.191 -1.548
-3.667 -3.310 5.212
Nb Te Ni
4 2 2
Direct
0.375 0.441 0.750
0.191 0.625 0.250
0.875 0.809 0.750
0.559 0.125 0.250
0.000 0.000 0.000
0.750 0.250 0.500
0.250 0.750 0.500
0.500 0.500 0.000
```

Summary:
**D(E_F)**: 0.9096 states/eV/atom
**Formation energy from raw total energies**: 0.68 eV/atom
**Space group**: I-42d (122)

[7]
## NbNiTe3 (PBE)

Data for a relaxed structure of NbNiTe3.

Geometry as POSCAR:
```
NbNiTe3
1.0
-2.048 -2.986 -1.125
6.000 -4.550 1.155
-5.817 0.690 8.758
Te Nb Ni
6 2 2
Direct
0.750 0.496 0.251
0.750 0.914 0.107
0.750 0.918 0.603
0.250 0.082 0.397
0.250 0.504 0.749
0.250 0.086 0.893
0.750 0.778 0.819
0.250 0.222 0.181
0.750 0.848 0.336
0.250 0.152 0.664
```

Summary:
**D(E_F)**: 0.7528 states/eV/atom
**Relative energy among the computed polymorphs**: 0.0 meV/atom
**Formation energy from raw total energies**: -0.11 eV/atom
**Space group**: P2_1/m (11)

[8]
## NbNiTe3 (PBE)

Data for a relaxed structure of NbNiTe3.

Geometry as POSCAR:
```
NbNiTe3
1.0
4.932 0.000 0.000
0.000 4.932 0.000
0.000 0.000 4.932
Te Nb Ni
3 1 1
Direct
0.000 0.500 0.000
0.000 0.000 0.500
0.500 0.000 0.000
0.500 0.500 0.500
0.000 0.000 0.000
```

Summary:
**D(E_F)**: 1.3883 states/eV/atom
**Relative energy among the computed polymorphs**: 783.6 meV/atom
**Formation energy from raw total energies**: 0.67 eV/atom
**Space group**: Pm-3m (221)